[1]
Below is crystalline MnBeSe2 at its relaxed geometry, with properties calculated at the PBE-GGA level.

symmetry: R3m
formation energy (no corrections): -0.28 eV/atom

Cell lengths 7.5980, 7.5980, 7.5980 Å; angles 26.97, 26.97, 26.97 degrees
Last column: nearest neighbours and their distance in Å.
Sites, in units of the cell vectors:
Be 0.5037 0.5037 0.5037  3 Se 2.17
Mn 0.7603 0.7603 0.7603  3 Se 2.45, 3 Be 2.65
Se 0.0325 0.0325 0.0325  3 Mn 2.45
Se 0.2034 0.2034 0.2034  3 Be 2.17

[2]
Below is crystalline Zn6CuRh3 at its relaxed geometry, with properties calculated at the PBE-GGA level.

symmetry: P2_1/m
energy of formation from the pure elements: -0.310 eV/atom

Cell lengths 4.3700, 7.2385, 9.4301 Å; angles 111.57, 90.00, 90.00 degrees
Last column: nearest neighbours and their distance in Å.
Sites, in units of the cell vectors:
Zn 0.2500 0.4690 0.0814  4 Zn 2.60-2.80, 7 Rh 2.63-2.73
Zn 0.7500 0.5310 0.9186  4 Zn 2.60-2.80, 7 Rh 2.63-2.73
Zn 0.2500 0.1679 0.1693  8 Zn 2.60-2.83, 4 Rh 2.74-2.80
Zn 0.7500 0.8321 0.8307  8 Zn 2.60-2.83, 4 Rh 2.74-2.80
Zn 0.2500 0.6528 0.6829  5 Rh 2.60-2.69, 6 Zn 2.66-2.91, 1 Cu 2.77
Zn 0.7500 0.3472 0.3171  5 Rh 2.60-2.69, 6 Zn 2.66-2.91, 1 Cu 2.77
Zn 0.2500 0.2560 0.4838  3 Cu 2.58-2.62, 4 Rh 2.63-2.64, 3 Zn 2.79-2.80
Zn 0.7500 0.7440 0.5162  3 Cu 2.58-2.62, 4 Rh 2.63-2.64, 3 Zn 2.79-2.80
Zn 0.2500 0.8581 0.2851  3 Cu 2.55-2.64, 4 Rh 2.59-2.71, 5 Zn 2.77-2.83
Zn 0.7500 0.1419 0.7149  3 Cu 2.55-2.64, 4 Rh 2.59-2.71, 5 Zn 2.77-2.83
Zn 0.2500 0.0548 0.8687  4 Rh 2.55-2.64, 1 Cu 2.61, 6 Zn 2.65-2.82
Zn 0.7500 0.9452 0.1313  4 Rh 2.55-2.64, 1 Cu 2.61, 6 Zn 2.65-2.82
Cu 0.2500 0.9596 0.5738  8 Zn 2.55-2.77, 2 Cu 2.77, 2 Rh 2.78-2.81
Cu 0.7500 0.0404 0.4262  8 Zn 2.55-2.77, 2 Cu 2.77, 2 Rh 2.78-2.81
Rh 0.2500 0.5544 0.3885  9 Zn 2.60-2.80, 1 Cu 2.81
Rh 0.7500 0.4456 0.6115  9 Zn 2.60-2.80, 1 Cu 2.81
Rh 0.2500 0.3491 0.7822  8 Zn 2.55-2.69, 1 Cu 2.78
Rh 0.7500 0.6509 0.2178  8 Zn 2.55-2.69, 1 Cu 2.78
Rh 0.2500 0.7729 0.9834  11 Zn 2.64-2.75
Rh 0.7500 0.2271 0.0166  11 Zn 2.64-2.75

[3]
Below is crystalline Dy2Cd2Ga at its relaxed geometry, with properties calculated at the PBE-GGA level.

symmetry: Cmmm
energy of formation from the pure elements: -0.323 eV/atom

Cell lengths 3.3812, 4.6681, 7.8989 Å; angles 72.81, 90.00, 90.00 degrees
Last column: nearest neighbours and their distance in Å.
Sites, in units of the cell vectors:
Dy 0.5000 0.3935 0.2131  6 Cd 3.20-3.40, 3 Dy 3.22-3.38, 4 Ga 3.30
Dy 0.5000 0.6065 0.7869  6 Cd 3.20-3.40, 3 Dy 3.22-3.38, 4 Ga 3.30
Cd 0.0000 0.1983 0.6034  2 Cd 2.81, 1 Ga 2.99
Cd 0.0000 0.8017 0.3966  2 Cd 2.81, 1 Ga 2.99
Ga 0.0000 0.0000 0.0000  2 Cd 2.99, 8 Dy 3.30

[4]
Below is crystalline La6Ge2N at its relaxed geometry, with properties calculated at the PBE-GGA level.

symmetry: P4_2/mnm
E above lowest polymorph: 0.1671 eV per atom
formation energy (no corrections): -0.56 eV/atom

Cell lengths 6.9122, 6.9122, 12.2794 Å; angles 90.00, 90.00, 90.00 degrees
Last column: nearest neighbours and their distance in Å.
Sites, in units of the cell vectors:
La 0.3068 0.3068 0.3568  1 N 2.58
La 0.6932 0.6932 0.3568  1 N 2.58
La 0.1932 0.8068 0.8568  1 N 2.58
La 0.8068 0.1932 0.8568  1 N 2.58
La 0.1932 0.8068 0.1432  1 N 2.58
La 0.8068 0.1932 0.1432  1 N 2.58
La 0.3068 0.3068 0.6432  1 N 2.58
La 0.6932 0.6932 0.6432  1 N 2.58
La 0.2719 0.2719 0.0000  1 N 2.66
La 0.7281 0.7281 0.0000  1 N 2.66
La 0.2281 0.7719 0.5000  1 N 2.66
La 0.7719 0.2281 0.5000  1 N 2.66
Ge 0.0000 0.0000 0.3319  6 La 2.99-3.04
Ge 0.5000 0.5000 0.8319  6 La 2.99-3.04
Ge 0.5000 0.5000 0.1681  6 La 2.99-3.04
Ge 0.0000 0.0000 0.6681  6 La 2.99-3.04
N 0.0000 0.0000 0.0000  6 La 2.58-2.66
N 0.5000 0.5000 0.5000  6 La 2.58-2.66

[5]
Below is crystalline LiTb2Ga3Pt4 at its relaxed geometry, with properties calculated at the PBE-GGA level.

symmetry: P-4m2
energy of formation from the pure elements: -0.937 eV/atom

Cell lengths 4.0207, 4.0207, 11.4815 Å; angles 90.00, 90.00, 90.00 degrees
Last column: nearest neighbours and their distance in Å.
Sites, in units of the cell vectors:
Li 0.5000 0.5000 0.5000  4 Pt 2.64, 4 Ga 2.84
Tb 0.5000 0.0000 0.2532  4 Pt 3.06, 4 Ga 3.16
Tb 0.0000 0.5000 0.7468  4 Pt 3.06, 4 Ga 3.16
Ga 0.0000 0.0000 0.5000  4 Pt 2.64, 4 Li 2.84
Ga 0.5000 0.0000 0.8667  5 Pt 2.50-2.53
Ga 0.0000 0.5000 0.1333  5 Pt 2.50-2.53
Pt 0.5000 0.5000 0.0000  4 Ga 2.53
Pt 0.0000 0.0000 0.0000  4 Ga 2.53
Pt 0.5000 0.0000 0.6491  3 Ga 2.50-2.64, 2 Li 2.64
Pt 0.0000 0.5000 0.3509  3 Ga 2.50-2.64, 2 Li 2.64